Na2LiIn2 | PBE | optimized geometry

Geometry as POSCAR:
```
Na2LiIn2
1.0
6.129 0.126 0.000
-1.259 6.000 0.000
0.000 0.000 8.460
In Na Li
4 4 2
Direct
0.667 0.667 0.916 In
0.667 0.667 0.584 In
0.333 0.333 0.416 In
0.333 0.333 0.084 In
0.189 0.811 0.500 Na
0.811 0.189 0.000 Na
0.189 0.811 0.000 Na
0.811 0.189 0.500 Na
0.326 0.326 0.750 Li
0.674 0.674 0.250 Li
```

## Properties
E_tot (eV/atom): -2.052
Polymorph energy (0 for the lowest one) (eV/f.u.): 0.00
Space-group type: Cmcm (63)